Entry 1:
An optimized crystal structure of NdCo12Si6, computed with PBE.

- V (Å³ per atom) = 12.7
- uncorrected formation energy (meV per atom) = -377
- uncorrected energy (eV per atom) = -6.829

```
data_NdCo12Si6
_cell_length_a 10.3632
_cell_length_b 10.3632
_cell_length_c 7.7802
_cell_angle_alpha 90.00
_cell_angle_beta 90.00
_cell_angle_gamma 120.00
_space_group_name_H-M_alt 'R -3 m'
_space_group_IT_number 166
_space_group_name_Hall '-R 3 2"'
loop_
_atom_site_label
_atom_site_fract_x
_atom_site_fract_y
_atom_site_fract_z
_atom_site_occupancy
Nd1 0.0000 0.0000 0.0000 1
Co1 0.0000 0.3693 0.5000 1
Co2 0.0876 0.1751 0.3549 1
Si1 0.0358 0.5179 0.2770 1
```

***

Entry 2:
An optimized crystal structure of TeAu2Br, computed with PBE.

- V (Å³ per atom) = 27.1
- uncorrected formation energy (meV per atom) = 147
- energy above the lowest structure with this stoichiometry (meV/atom) = 179
- uncorrected energy (eV per atom) = -2.696

```
data_TeAu2Br
_cell_length_a 3.827
_cell_length_b 7.072
_cell_length_c 7.999
_cell_angle_alpha 90.00
_cell_angle_beta 90.00
_cell_angle_gamma 90.00
_space_group_name_H-M_alt 'C m m m'
_space_group_IT_number 65
_space_group_name_Hall '-C 2 2'
loop_
_atom_site_label
_atom_site_fract_x
_atom_site_fract_y
_atom_site_fract_z
_atom_site_occupancy
Te1 0.000 0.000 0.000 1
Au1 0.000 0.500 0.247 1
Br1 0.000 0.000 0.500 1
```

***

Entry 3:
An optimized crystal structure of CuAg2Sn, computed with PBE.

- V (Å³ per atom) = 19.9
- formation energy from the elements (eV per atom) = 0.233
- uncorrected energy (eV per atom) = -3.217

```
data_CuAg2Sn
_cell_length_a 7.682
_cell_length_b 7.682
_cell_length_c 5.386
_cell_angle_alpha 90.00
_cell_angle_beta 90.00
_cell_angle_gamma 90.00
_space_group_name_H-M_alt 'I -4 2 d'
_space_group_IT_number 122
_space_group_name_Hall 'I -4 2bw'
loop_
_atom_site_label
_atom_site_fract_x
_atom_site_fract_y
_atom_site_fract_z
_atom_site_occupancy
Cu1 0.000 0.000 0.000 1
Ag1 0.214 0.250 0.125 1
Sn1 0.000 0.000 0.500 1
```

***

Entry 4:
An optimized crystal structure of TiAl4Zn, computed with PBE.

- V (Å³ per atom) = 16.1
- formation energy from the elements (eV per atom) = -0.135
- energy above the lowest structure with this stoichiometry (meV/atom) = 0
- uncorrected energy (eV per atom) = -4.158

```
data_TiAl4Zn
_cell_length_a 4.226
_cell_length_b 9.844
_cell_length_c 9.260
_cell_angle_alpha 90.00
_cell_angle_beta 90.00
_cell_angle_gamma 90.00
_space_group_name_H-M_alt 'C m c 21'
_space_group_IT_number 36
_space_group_name_Hall 'C 2c -2'
loop_
_atom_site_label
_atom_site_fract_x
_atom_site_fract_y
_atom_site_fract_z
_atom_site_occupancy
Ti1 0.000 0.160 0.000 1
Al1 0.000 0.006 0.742 1
Al2 0.000 0.158 0.480 1
Al3 0.000 0.315 0.736 1
Al4 0.000 0.483 0.022 1
Zn1 0.000 0.338 0.278 1
```

***

Entry 5:
An optimized crystal structure of AlSeCl4, computed with PBE.

- V (Å³ per atom) = 26.2
- uncorrected formation energy (meV per atom) = 676
- uncorrected energy (eV per atom) = -1.759

```
data_AlSeCl4
_cell_length_a 8.570
_cell_length_b 8.570
_cell_length_c 8.570
_cell_angle_alpha 90.00
_cell_angle_beta 90.00
_cell_angle_gamma 90.00
_space_group_name_H-M_alt 'F -4 3 m'
_space_group_IT_number 216
_space_group_name_Hall 'F -4 2 3'
loop_
_atom_site_label
_atom_site_fract_x
_atom_site_fract_y
_atom_site_fract_z
_atom_site_occupancy
Al1 0.000 0.000 0.000 1
Se1 0.250 0.250 0.250 1
Cl1 0.126 0.126 0.626 1
```

***

Entry 6:
An optimized crystal structure of MgZn2Cl, computed with PBE.

- V (Å³ per atom) = 20.3
- uncorrected formation energy (meV per atom) = -201
- energy above the lowest structure with this stoichiometry (meV/atom) = 194
- uncorrected energy (eV per atom) = -1.698

```
data_MgZn2Cl
_cell_length_a 5.099
_cell_length_b 9.433
_cell_length_c 3.369
_cell_angle_alpha 90.00
_cell_angle_beta 90.00
_cell_angle_gamma 90.00
_space_group_name_H-M_alt 'C m m m'
_space_group_IT_number 65
_space_group_name_Hall '-C 2 2'
loop_
_atom_site_label
_atom_site_fract_x
_atom_site_fract_y
_atom_site_fract_z
_atom_site_occupancy
Mg1 0.000 0.000 0.000 1
Zn1 0.250 0.250 0.500 1
Cl1 0.000 0.500 0.000 1
```

***

Entry 7:
An optimized crystal structure of CaNiIr2, computed with PBE.

- V (Å³ per atom) = 16.1
- formation energy from the elements (eV per atom) = 0.097
- energy above the lowest structure with this stoichiometry (meV/atom) = 81
- uncorrected energy (eV per atom) = -6.279

```
data_CaNiIr2
_cell_length_a 2.860
_cell_length_b 2.860
_cell_length_c 7.862
_cell_angle_alpha 90.00
_cell_angle_beta 90.00
_cell_angle_gamma 90.00
_space_group_name_H-M_alt 'P 4 m m'
_space_group_IT_number 99
_space_group_name_Hall 'P 4 -2'
loop_
_atom_site_label
_atom_site_fract_x
_atom_site_fract_y
_atom_site_fract_z
_atom_site_occupancy
Ca1 0.000 0.000 0.000 1
Ni1 0.500 0.500 0.720 1
Ir1 0.000 0.000 0.518 1
Ir2 0.500 0.500 0.293 1
```

***

Entry 8:
An optimized crystal structure of CrAgSe2, computed with PBE.

- V (Å³ per atom) = 22.8
- uncorrected formation energy (meV per atom) = -80
- uncorrected energy (eV per atom) = -4.941

```
data_CrAgSe2
_cell_length_a 4.219
_cell_length_b 3.458
_cell_length_c 6.264
_cell_angle_alpha 90.00
_cell_angle_beta 91.05
_cell_angle_gamma 90.00
_space_group_name_H-M_alt 'P 1 2/m 1'
_space_group_IT_number 10
_space_group_name_Hall '-P 2y'
loop_
_atom_site_label
_atom_site_fract_x
_atom_site_fract_y
_atom_site_fract_z
_atom_site_occupancy
Cr1 0.000 0.000 0.000 1
Ag1 0.000 0.000 0.500 1
Se1 0.277 0.500 0.226 1
```